BeFe2As | Alexandria | PBE | optimized geometry; calculated total energy = -6.266 eV per atom; M_tot = 3.6 μB/f.u.; energy of formation from the pure elements = 0.06 eV per atom; offset from the most stable computed form = 176 meV per atom
1.0
3.880 -1.428 0.000
3.880 1.428 0.000
-0.769 0.000 4.176
Be Fe As
1 2 1
Direct
0.000 0.000 0.000
0.253 0.253 0.766
0.747 0.747 0.234
0.500 0.500 0.500